Record 1
Nb2V2GaTc5, relaxed, DFT PBE; calculated formation energy = 41 meV/atom; space group = P4/mbm; total DFT energy (no corrections) = -9.283 eV per atom
1.0
9.915 0.000 0.000
0.000 9.915 0.000
0.000 0.000 3.169
Nb V Ga Tc
4 4 2 10
direct
0.170 0.330 0.000 Nb
0.330 0.830 0.000 Nb
0.670 0.170 0.000 Nb
0.830 0.670 0.000 Nb
0.135 0.635 0.000 V
0.365 0.135 0.000 V
0.635 0.865 0.000 V
0.865 0.365 0.000 V
0.000 0.000 0.000 Ga
0.500 0.500 0.000 Ga
0.000 0.500 0.500 Tc
0.052 0.801 0.500 Tc
0.199 0.052 0.500 Tc
0.301 0.552 0.500 Tc
0.448 0.301 0.500 Tc
0.500 0.000 0.500 Tc
0.552 0.699 0.500 Tc
0.699 0.448 0.500 Tc
0.801 0.948 0.500 Tc
0.948 0.199 0.500 Tc


Record 2
KUIn2Br8, relaxed, DFT PBE; space group = P-1; total DFT energy (no corrections) = -3.733 eV per atom; formation energy from raw total energies = -13.55 eV/f.u.
1.0
7.245 0.000 0.000
0.124 7.497 0.000
0.016 0.011 9.492
K U In Br
1 1 2 8
direct
0.000 0.000 0.000 K
0.000 0.000 0.500 U
0.499 0.500 0.232 In
0.501 0.500 0.768 In
0.195 0.693 0.501 Br
0.227 0.132 0.702 Br
0.228 0.130 0.297 Br
0.276 0.651 0.000 Br
0.724 0.349 0.000 Br
0.772 0.870 0.703 Br
0.773 0.868 0.298 Br
0.805 0.307 0.499 Br